# KDyCo2F8

A relaxed structure of KDyCo2F8 (PBE+U, Alexandria via LeMat-Bulk).

a b c (Å): 5.185 5.218 7.482
angles (deg): 82.60 82.83 81.02
Fractional positions:
K  0.000  0.000  0.000
Dy  0.000  0.000  0.500
Co  0.455  0.454  0.218
Co  0.545  0.546  0.782
F  0.205  0.762  0.719
F  0.231  0.787  0.283
F  0.284  0.274  0.444
F  0.345  0.335  0.999
F  0.655  0.665  0.001
F  0.716  0.726  0.556
F  0.769  0.213  0.717
F  0.795  0.238  0.281

Results
total energy = -5.4362 eV per atom
space-group type = No. 2
total magnetization = 6.000 μB/f.u.
crystal system = triclinic
V = 16.4 Å³ per atom